# 1
This record from Alexandria describes a crystal of GaTcBi3 relaxed with PBEsol. The functional is SCAN. Values from VASP.

The structure in Quantum ESPRESSO input format:
```
&SYSTEM
  ibrav = 0, nat = 5, ntyp = 3
/
ATOMIC_SPECIES
Ga 69.72 Ga.upf
Tc 98.00 Tc.upf
Bi 208.98 Bi.upf
CELL_PARAMETERS angstrom
5.2942 0.0000 0.0000
0.0000 5.2942 0.0000
0.0000 0.0000 5.2942
ATOMIC_POSITIONS angstrom
Ga 0.0000 0.0000 0.0000
Tc 2.6471 2.6471 2.6471
Bi 0.0000 0.0000 2.6471
Bi 0.0000 2.6471 0.0000
Bi 2.6471 0.0000 0.0000
```

The calculation puts the formation energy at 1.28 eV/atom. Its density of states at the Fermi level is 4.07 states/eV per cell.

# 2
This record from Alexandria describes a crystal of TiGa3Bi relaxed with PBEsol. The functional is SCAN. Values from VASP.

The structure in Quantum ESPRESSO input format:
```
&SYSTEM
  ibrav = 0, nat = 5, ntyp = 3
/
ATOMIC_SPECIES
Ti 47.87 Ti.upf
Ga 69.72 Ga.upf
Bi 208.98 Bi.upf
CELL_PARAMETERS angstrom
4.9216 0.0000 0.0000
0.0000 4.9216 0.0000
0.0000 0.0000 4.9216
ATOMIC_POSITIONS angstrom
Ti 0.0000 0.0000 0.0000
Ga 0.0000 0.0000 2.4608
Ga 0.0000 2.4608 0.0000
Ga 2.4608 0.0000 0.0000
Bi 2.4608 2.4608 2.4608
```

The calculation puts the formation energy at 0.44 eV/atom. Its density of states at the Fermi level is 3.22 states/eV per cell.

# 3
This record from Alexandria describes a crystal of Ti2Ga2Bi relaxed with PBEsol. The functional is SCAN. Values from VASP.

The structure in Quantum ESPRESSO input format:
```
&SYSTEM
  ibrav = 0, nat = 5, ntyp = 3
/
ATOMIC_SPECIES
Ti 47.87 Ti.upf
Ga 69.72 Ga.upf
Bi 208.98 Bi.upf
CELL_PARAMETERS angstrom
-2.1065 2.1065 5.5543
2.1065 -2.1065 5.5543
2.1065 2.1065 -5.5543
ATOMIC_POSITIONS angstrom
Ti 2.1065 0.0000 2.7772
Ti 0.0000 2.1065 2.7772
Ga 0.0000 0.0000 1.2236
Ga 0.0000 0.0000 9.8851
Bi 0.0000 0.0000 5.5543
```

The calculation puts the formation energy at 0.07 eV/atom. Its density of states at the Fermi level is 4.92 states/eV per cell.

# 4
This record from Alexandria describes a crystal of TlGa2Bi relaxed with PBEsol. The functional is SCAN. Values from VASP.

The structure in Quantum ESPRESSO input format:
```
&SYSTEM
  ibrav = 0, nat = 4, ntyp = 3
/
ATOMIC_SPECIES
Tl 204.38 Tl.upf
Ga 69.72 Ga.upf
Bi 208.98 Bi.upf
CELL_PARAMETERS angstrom
0.0000 3.6386 3.6386
3.6386 0.0000 3.6386
3.6386 3.6386 0.0000
ATOMIC_POSITIONS angstrom
Tl 0.0000 0.0000 0.0000
Ga 1.8193 1.8193 1.8193
Ga 5.4578 5.4578 5.4578
Bi 3.6386 3.6386 3.6386
```

The calculation puts the formation energy at 0.18 eV/atom. Its density of states at the Fermi level is 1.79 states/eV per cell.